Here is a relaxed Sc2AlAu crystal from OQMD. Energies are from GGA-PBE.

Output
For the volume, the calculation gives 302.4 Å³/cell. The value obtained for the electronic total energy is -20.92 eV per formula unit.

abc: 6.712 6.712 6.712
angles: 90.00 90.00 90.00
Space group F-43m (No. 216)
Asymmetric unit:
Sc  0.000  0.000  0.000
Sc  0.250  0.250  0.250
Al  0.000  0.000  0.500
Au  0.250  0.250  0.750

Here is a relaxed TbScAl4Au2 crystal from OQMD. Energies are from GGA-PBE.

Output
For the volume, the calculation gives 447.5 Å³/cell. The value obtained for the electronic total energy is -31.16 eV per formula unit.

abc: 5.458 5.076 16.154
angles: 90.00 90.00 90.00
Space group Amm2 (No. 38)
Asymmetric unit:
Tb  0.000  0.000  0.000
Sc  0.000  0.000  0.358
Al  0.258  0.000  0.672
Al  0.270  0.000  0.507
Au  0.000  0.000  0.184
Au  0.000  0.000  0.806

Here is a relaxed AlAuSe2 crystal from OQMD. Energies are from GGA-PBE.

Output
For the volume, the calculation gives 245.3 Å³/cell. The value obtained for the electronic total energy is -16.30 eV per formula unit.

abc: 6.218 6.240 6.323
angles: 89.78 89.72 89.66
Space group P-1 (No. 2)
Asymmetric unit:
Al  0.000  0.000  0.250
Au  0.000  0.500  0.000
Au  0.500  0.000  0.500
Se  0.186  0.763  0.500
Se  0.237  0.184  0.998

Here is a relaxed AlAuSe2 crystal from OQMD. Energies are from GGA-PBE.

Output
For the volume, the calculation gives 432.9 Å³/cell. The value obtained for the electronic total energy is -16.08 eV per formula unit.

abc: 14.658 5.655 5.653
angles: 90.00 112.49 90.00
Space group C2 (No. 5)
Asymmetric unit:
Al  0.250  0.000  0.250
Au  0.108  0.000  0.609
Se  0.143  0.299  0.345
Se  0.143  0.701  0.943

Here is a relaxed AlSi2Au2 crystal from OQMD. Energies are from GGA-PBE.

Output
For the volume, the calculation gives 176.1 Å³/cell. The value obtained for the electronic total energy is -20.12 eV per formula unit.

abc: 3.896 6.107 7.399
angles: 90.00 90.00 90.00
Space group Immm (No. 71)
Asymmetric unit:
Al  0.000  0.000  0.000
Si  0.000  0.198  0.500
Au  0.000  0.500  0.231

Here is a relaxed Al2SiAu2 crystal from OQMD. Energies are from GGA-PBE.

Output
For the volume, the calculation gives 186.3 Å³/cell. The value obtained for the electronic total energy is -18.90 eV per formula unit.

abc: 3.908 3.908 12.196
angles: 90.00 90.00 90.00
Space group I4/mmm (No. 139)
Asymmetric unit:
Al  0.000  0.000  0.102
Si  0.000  0.000  0.500
Au  0.000  0.500  0.250

Here is a relaxed Al2SiAu crystal from OQMD. Energies are from GGA-PBE.

Output
For the volume, the calculation gives 275.1 Å³/cell. The value obtained for the electronic total energy is -15.44 eV per formula unit.

abc: 6.504 6.504 6.504
angles: 90.00 90.00 90.00
Space group F-43m (No. 216)
Asymmetric unit:
Al  0.000  0.000  0.000
Al  0.250  0.250  0.250
Si  0.000  0.000  0.500
Au  0.250  0.250  0.750

Here is a relaxed SmAl8SiAu4 crystal from OQMD. Energies are from GGA-PBE.

Output
For the volume, the calculation gives 1051.0 Å³/cell. The value obtained for the electronic total energy is -60.31 eV per formula unit.

abc: 6.043 6.043 28.777
angles: 90.00 90.00 90.00
Space group I4/mmm (No. 139)
Asymmetric unit:
Sm  0.000  0.500  0.250
Al  0.248  0.248  0.157
Al  0.250  0.250  0.053
Si  0.000  0.000  0.208
Au  0.000  0.000  0.000
Au  0.000  0.000  0.293
Au  0.000  0.000  0.500
Au  0.000  0.500  0.105